Computed, not measured: crystalline Si2RuW at its relaxed geometry at the PBE-GGA level of DFT.

The calculated volume comes out at 13.45 A^3/atom. For the formation energy (no corrections), the calculation gives -0.24 eV per atom. The electronic total energy is -34.0 eV per cell. As for the energy above the most stable polymorph in this dataset: 0.0500 eV/atom.

It has space group P4/mmm (No. 123), with a = 2.980 Å, b = 2.980 Å, c = 6.059 Å, α = 90.00°, β = 90.00° and γ = 90.00°. The asymmetric unit holds Si at (0.000, 0.000, 0.241), Ru at (0.500, 0.500, 0.000) and W at (0.500, 0.500, 0.500).

---

Computed, not measured: crystalline SiRuW2 at its relaxed geometry at the PBE-GGA level of DFT.

The calculated volume comes out at 14.70 A^3/atom. For the formation energy (no corrections), the calculation gives -0.05 eV per atom. The electronic total energy is -40.8 eV per cell.

It has space group P2/m (No. 10), with a = 2.782 Å, b = 4.093 Å, c = 5.179 Å, α = 90.00°, β = 94.35° and γ = 90.00°. The asymmetric unit holds Si at (0.000, 0.000, 0.000), Ru at (0.000, 0.000, 0.500) and W at (0.464, 0.500, 0.244).

---

Computed, not measured: crystalline SiRuW2 at its relaxed geometry at the PBE-GGA level of DFT.

The calculated volume comes out at 14.57 A^3/atom. For the formation energy (no corrections), the calculation gives -0.13 eV per atom. The electronic total energy is -82.2 eV per cell.

It has space group Immm (No. 71), with a = 3.110 Å, b = 4.280 Å, c = 8.756 Å, α = 90.00°, β = 90.00° and γ = 90.00°. The asymmetric unit holds Si at (0.000, 0.000, 0.000), Ru at (0.000, 0.000, 0.500) and W at (0.000, 0.500, 0.258).